(1)
Computed, not measured: a relaxed CsCr2Os crystal at the PBE level of DFT.

Cell and atoms, written as POSCAR:
```
CsCr2Os
1.0
2.472 2.959 2.376
-0.843 0.633 4.404
2.943 -1.486 3.105
Cs Cr Os
1 2 1
Direct
0.000 0.000 0.000
0.250 0.250 0.250
0.750 0.750 0.750
0.500 0.500 0.500
```



(2)
Computed, not measured: a relaxed CsCrOs3 crystal at the PBE level of DFT.

Cell and atoms, written as POSCAR:
```
CsCrOs3
1.0
-2.055 -4.141 -0.708
1.549 -1.480 4.157
-3.905 1.592 2.022
Cs Cr Os
1 1 3
Direct
0.500 0.500 0.500
0.000 0.000 0.000
0.000 0.500 0.000
0.000 0.000 0.500
0.500 0.000 0.000
```

Properties
The calculation puts the offset from the most stable computed form at 0 meV per atom.



(3)
Computed, not measured: a relaxed CsCrOs3 crystal at the PBE level of DFT.

Cell and atoms, written as POSCAR:
```
CsCrOs3
1.0
4.859 0.000 0.000
0.000 4.859 0.000
0.000 0.000 4.859
Cs Cr Os
1 1 3
Direct
0.000 0.000 0.000
0.500 0.500 0.500
0.000 0.500 0.000
0.000 0.000 0.500
0.500 0.000 0.000
```

Properties
The calculation puts the offset from the most stable computed form at 2296 meV per atom.



(4)
Computed, not measured: a relaxed Cs3CrOs crystal at the PBE level of DFT.

Cell and atoms, written as POSCAR:
```
Cs3CrOs
1.0
6.170 0.000 0.000
0.000 6.170 0.000
0.000 0.000 6.170
Cs Cr Os
3 1 1
Direct
0.000 0.500 0.000
0.000 0.000 0.500
0.500 0.000 0.000
0.500 0.500 0.500
0.000 0.000 0.000
```



(5)
Computed, not measured: a relaxed CsRbCrOs2 crystal at the PBE level of DFT.

Cell and atoms, written as POSCAR:
```
CsRbCrOs2
1.0
-2.606 2.297 -3.051
3.437 -2.220 -4.607
-2.817 -3.650 -0.343
Cs Cr Os Rb
1 1 2 1
Direct
0.500 0.500 0.500
0.000 0.000 0.000
0.000 0.000 0.500
0.500 0.000 0.000
0.000 0.500 0.000
```



(6)
Computed, not measured: a relaxed Cs2ScCrOs crystal at the PBE level of DFT.

Cell and atoms, written as POSCAR:
```
Cs2ScCrOs
1.0
-1.845 -5.397 -4.263
-2.371 -1.931 3.472
-5.829 3.570 -1.996
Cs Cr Os Sc
2 1 1 1
Direct
0.000 0.000 0.500
0.500 0.000 0.000
0.500 0.500 0.500
0.000 0.500 0.000
0.000 0.000 0.000
```



(7)
Computed, not measured: a relaxed Cs2VCrOs crystal at the PBE level of DFT.

Cell and atoms, written as POSCAR:
```
Cs2VCrOs
1.0
-1.265 2.403 -6.051
-3.700 0.932 1.143
2.105 5.984 1.936
Cs Cr Os V
2 1 1 1
Direct
0.000 0.000 0.500
0.500 0.000 0.000
0.000 0.000 0.000
0.500 0.500 0.500
0.000 0.500 0.000
```



(8)
Computed, not measured: a relaxed Cs3CrP crystal at the PBE level of DFT.

Cell and atoms, written as POSCAR:
```
Cs3CrP
1.0
-5.128 1.751 -4.224
-4.485 -3.159 4.135
-0.888 5.844 3.501
Cs Cr P
3 1 1
Direct
0.000 0.500 0.000
0.000 0.000 0.500
0.500 0.000 0.000
0.500 0.500 0.500
0.000 0.000 0.000
```

Properties
The calculation puts the offset from the most stable computed form at 0 meV per atom.



(9)
Computed, not measured: a relaxed CsCrP2 crystal at the PBE level of DFT.

Cell and atoms, written as POSCAR:
```
CsCrP2
1.0
-2.042 0.283 -4.594
2.437 -1.930 -3.961
-1.738 -4.159 -2.243
Cs Cr P
1 1 2
Direct
0.500 0.500 0.500
0.000 0.000 0.000
0.250 0.250 0.250
0.750 0.750 0.750
```

Properties
The calculation puts the offset from the most stable computed form at 1246 meV per atom.



(10)
Computed, not measured: a relaxed Cs2CrP crystal at the PBE level of DFT.

Cell and atoms, written as POSCAR:
```
Cs2CrP
1.0
0.000 4.268 4.268
4.268 0.000 4.268
4.268 4.268 0.000
Cs Cr P
2 1 1
Direct
0.250 0.250 0.250
0.750 0.750 0.750
0.500 0.500 0.500
0.000 0.000 0.000
```



(11)
Computed, not measured: a relaxed CsCrP2 crystal at the PBE level of DFT.

Cell and atoms, written as POSCAR:
```
CsCrP2
1.0
-4.454 0.904 5.262
-5.331 -0.373 -4.448
-5.103 -4.615 1.067
Cs Cr P
2 2 4
Direct
0.000 0.000 0.000
0.750 0.250 0.500
0.500 0.500 0.000
0.250 0.750 0.500
0.375 0.125 0.250
0.375 0.625 0.250
0.375 0.625 0.750
0.875 0.625 0.750
```

Properties
The calculation puts the offset from the most stable computed form at 0 meV per atom.



(12)
Computed, not measured: a relaxed Cs2CrP crystal at the PBE level of DFT.

Cell and atoms, written as POSCAR:
```
Cs2CrP
1.0
-6.934 6.934 2.310
6.934 -6.934 2.310
6.934 6.934 -2.310
Cs Cr P
4 2 2
Direct
0.681 0.375 0.806
0.569 0.875 0.194
0.125 0.319 0.694
0.625 0.431 0.306
0.000 0.000 0.000
0.250 0.750 0.500
0.500 0.500 0.000
0.750 0.250 0.500
```



Energy of formation, record by record: 1969, 2085, 4381, 1587, 1539, 2012, 2410, 567, 943, 794, -303, 86 meV per atom
DFT total energy, record by record: -5.86, -6.75, -4.45, -3.10, -5.24, -3.77, -3.93, -2.95, -4.38, -3.39, -5.63, -4.10 eV/atom
Size of the total moment, record by record: 0.000, 0.223, 0.234, 1.001, 0.182, 0.189, 0.607, 1.200, 0.763, 1.250, 0.000, 1.011 μB per atom